Below is a relaxed structure of RbTiS2, with properties calculated at the PBE level.

a b c (Å): 7.3329 7.3440 9.1600
angles (deg): 90.00 90.00 90.00
Space group Pnma (No. 62)
Symmetry-distinct sites (fractional):
1 Rb 0.1425 0.2500 0.1489
2 Ti 0.0790 0.2500 0.6354
3 S 0.0000 0.0000 0.5000
4 S 0.1004 0.7500 0.1548

Summary:
- Crystal system: orthorhombic
- Energy relative to the elements, uncorrected: -1.2365 eV/atom
- Mass density: 2.7 g/cm³
- Raw total energy: -88.25 eV per cell

***

Below is a relaxed structure of Rb2Cd4Pt, with properties calculated at the PBE level.

a b c (Å): 5.3597 5.3597 18.6978
angles (deg): 90.00 90.00 90.00
Space group I4/mmm (No. 139)
Symmetry-distinct sites (fractional):
1 Rb 0.0000 0.0000 0.1531
2 Cd 0.0000 0.0000 0.3571
3 Cd 0.0000 0.5000 0.0000
4 Pt 0.0000 0.0000 0.5000

Summary:
- Crystal system: tetragonal
- Mass density: 5.0 g/cm³
- Energy of formation from the pure elements: -0.141 eV/atom
- Raw total energy: -25.25 eV per cell
- ΔE to the lowest computed polymorph: 6 meV/atom

***

Below is a relaxed structure of SrPm8Sn6, with properties calculated at the PBE level.

a b c (Å): 9.4300 9.4300 19.5871
angles (deg): 90.00 90.00 120.00
Space group R-3 (No. 148, hexagonal axes)
Symmetry-distinct sites (fractional):
1 Sr 0.0000 0.0000 0.0000
2 Pm 0.0000 0.0000 0.3331
3 Pm 0.0011 0.6718 0.1011
4 Sn 0.0009 0.6600 0.9298

Summary:
- Crystal system: trigonal
- Mass density: 6.5 g/cm³
- Energy of formation from the pure elements: -0.573 eV/atom
- Raw total energy: -216.92 eV per cell

***

Below is a relaxed structure of TaInCuNi, with properties calculated at the PBE level.

a b c (Å): 6.2419 6.2419 6.2419
angles (deg): 90.00 90.00 90.00
Space group F-43m (No. 216)
Symmetry-distinct sites (fractional):
1 Ta 0.0000 0.0000 0.0000
2 In 0.0000 0.0000 0.5000
3 Cu 0.2500 0.2500 0.2500
4 Ni 0.2500 0.2500 0.7500

Summary:
- Crystal system: cubic
- Mass density: 11.4 g/cm³
- Energy of formation from the pure elements: 0.003 eV/atom
- Raw total energy: -97.82 eV per cell

***

> What is the formula in the first record?

RbTiS2

***

> Number 1 is which compound?

RbTiS2